Rb2HoSb2O6 (PBE, optimized geometry); E_form (uncorrected) = -1.85 eV per atom; SG = C2/m
1.0
5.1529 -3.1560 0.0000
5.1529 3.1560 0.0000
-3.1524 0.0000 6.7886
Rb Ho Sb O
2 1 2 6
direct
0.2040 0.2040 0.1593
0.7960 0.7960 0.8407
0.0000 0.0000 0.5000
0.4273 0.4273 0.7643
0.5727 0.5727 0.2357
0.2243 0.7136 0.2675
0.2341 0.2341 0.5596
0.2864 0.7757 0.7325
0.7136 0.2243 0.2675
0.7659 0.7659 0.4404
0.7757 0.2864 0.7325